(1)
VASP calculation (PBE) on an optimized crystal structure of Nd8Ge3RhI4.

Lattice parameters (Å, degrees): 9.1972 9.1972 9.1972 56.49 56.49 56.49
Element x y z (fractional)
Nd1 0.2340 0.2340 0.2340
Nd2 0.2419 0.7261 0.7261
Nd3 0.2739 0.2739 0.7580
Nd4 0.2739 0.7580 0.2739
Nd5 0.7261 0.2420 0.7261
Nd6 0.7261 0.7261 0.2420
Nd7 0.7580 0.2739 0.2739
Nd8 0.7660 0.7660 0.7660
Ge1 0.0000 0.0000 0.5000
Ge2 0.0000 0.5000 0.0000
Ge3 0.5000 0.0000 0.0000
Rh1 0.5000 0.5000 0.5000
I1 0.0000 0.0000 0.0000
I2 0.0000 0.5000 0.5000
I3 0.5000 0.0000 0.5000
I4 0.5000 0.5000 0.0000

Calculated values
As for the volume: 505 Å³/cell. Its formation energy from raw total energies is -15.5 eV/f.u. As for the space-group type: R-3m, No. 166.



(2)
VASP calculation (PBE) on an optimized crystal structure of Nd8GeRh3I4.

Lattice parameters (Å, degrees): 9.4147 9.4147 9.4147 53.79 53.79 53.79
Element x y z (fractional)
Nd1 0.2162 0.7350 0.7350
Nd2 0.2300 0.2300 0.2300
Nd3 0.2650 0.2650 0.7838
Nd4 0.2650 0.7838 0.2650
Nd5 0.7350 0.2162 0.7350
Nd6 0.7350 0.7350 0.2162
Nd7 0.7700 0.7700 0.7700
Nd8 0.7838 0.2650 0.2650
Ge1 0.5000 0.5000 0.5000
Rh1 0.0000 0.0000 0.5000
Rh2 0.0000 0.5000 0.0000
Rh3 0.5000 0.0000 0.0000
I1 0.0000 0.0000 0.0000
I2 0.0000 0.5000 0.5000
I3 0.5000 0.0000 0.5000
I4 0.5000 0.5000 0.0000

Calculated values
As for the volume: 504 Å³/cell. Its formation energy from raw total energies is -14.5 eV/f.u. As for the space-group type: R-3m, No. 166.



(3)
VASP calculation (PBE) on an optimized crystal structure of Nd6Ge2SI3.

Lattice parameters (Å, degrees): 7.4126 7.4126 8.1249 98.76 98.76 120.01
Element x y z (fractional)
Nd1 0.0642 0.3914 0.1936
Nd2 0.2615 0.2615 0.8055
Nd3 0.3914 0.0642 0.1936
Nd4 0.6086 0.9358 0.8064
Nd5 0.7385 0.7385 0.1945
Nd6 0.9358 0.6086 0.8064
Ge1 0.3338 0.6662 0.0000
Ge2 0.6662 0.3338 0.0000
S1 0.0000 0.0000 0.0000
I1 0.1698 0.8302 0.5000
I2 0.5000 0.5000 0.5000
I3 0.8302 0.1698 0.5000

Calculated values
As for the volume: 368 Å³/cell. Its formation energy from raw total energies is -14.3 eV/f.u. As for the space-group type: C2/m, No. 12.



(4)
VASP calculation (PBE) on an optimized crystal structure of Nd6Ge2S3I.

Lattice parameters (Å, degrees): 9.4189 9.4189 8.5550 101.84 101.84 25.81
Element x y z (fractional)
Nd1 0.0031 0.0031 0.2868
Nd2 0.3204 0.3204 0.9027
Nd3 0.3333 0.3333 0.4158
Nd4 0.6667 0.6667 0.5842
Nd5 0.6796 0.6796 0.0973
Nd6 0.9969 0.9969 0.7132
Ge1 0.1663 0.1663 0.3323
Ge2 0.8337 0.8337 0.6677
S1 0.1616 0.1616 0.8366
S2 0.5000 0.5000 0.5000
S3 0.8384 0.8384 0.1634
I1 0.5000 0.5000 0.0000

Calculated values
As for the volume: 323 Å³/cell. Its formation energy from raw total energies is -17.7 eV/f.u. As for the space-group type: C2/m, No. 12.